No. 1
# HfSb2As (PBE, optimized geometry)
data_HfSb2As
_space_group_name_H-M_alt 'P 1'
_space_group_IT_number 1
_space_group_name_Hall 'P 1'
_cell_length_a 5.067
_cell_length_b 5.067
_cell_length_c 5.067
_cell_angle_alpha 60.00
_cell_angle_beta 60.00
_cell_angle_gamma 60.00
loop_
_atom_site_label
_atom_site_type_symbol
_atom_site_fract_x
_atom_site_fract_y
_atom_site_fract_z
As1 As 0.500 0.500 0.500
Hf1 Hf 0.250 0.250 0.250
Sb1 Sb 0.000 0.000 0.000
Sb2 Sb 0.750 0.750 0.750
# calculated total energy	-5.556	eV/atom
# crystal system	cubic
# space group	No. 216
# calculated density	8.97	Mg/m³
# M_tot	0.2	μB per cell

***

No. 2
# NiBMo (PBE, optimized geometry)
data_NiBMo
_space_group_name_H-M_alt 'P 1'
_space_group_IT_number 1
_space_group_name_Hall 'P 1'
_cell_length_a 3.837
_cell_length_b 3.837
_cell_length_c 3.837
_cell_angle_alpha 60.00
_cell_angle_beta 60.00
_cell_angle_gamma 60.00
loop_
_atom_site_label
_atom_site_type_symbol
_atom_site_fract_x
_atom_site_fract_y
_atom_site_fract_z
B1 B 0.250 0.250 0.250
Mo1 Mo 0.000 0.000 0.000
Ni1 Ni 0.750 0.750 0.750
# calculated total energy	-6.918	eV/atom
# crystal system	cubic
# space group	No. 216
# calculated density	6.88	Mg/m³
# M_tot	0.0	μB per cell

***

No. 3
# SrFeAs2Pd (PBE, optimized geometry)
data_SrFeAs2Pd
_space_group_name_H-M_alt 'P 1'
_space_group_IT_number 1
_space_group_name_Hall 'P 1'
_cell_length_a 6.614
_cell_length_b 6.614
_cell_length_c 6.614
_cell_angle_alpha 144.23
_cell_angle_beta 144.23
_cell_angle_gamma 51.48
loop_
_atom_site_label
_atom_site_type_symbol
_atom_site_fract_x
_atom_site_fract_y
_atom_site_fract_z
As1 As 0.614 0.114 0.500
As2 As 0.886 0.386 0.500
Fe1 Fe 0.000 0.000 0.000
Pd1 Pd 0.500 0.500 0.000
Sr1 Sr 0.250 0.750 0.500
# calculated total energy	-5.482	eV/atom
# crystal system	tetragonal
# space group	No. 119
# calculated density	6.75	Mg/m³
# M_tot	2.2	μB per cell

***

No. 4
# HfZr2Al3FeCu2 (PBE, optimized geometry)
data_HfZr2Al3FeCu2
_space_group_name_H-M_alt 'P 1'
_space_group_IT_number 1
_space_group_name_Hall 'P 1'
_cell_length_a 4.082
_cell_length_b 6.439
_cell_length_c 6.439
_cell_angle_alpha 119.40
_cell_angle_beta 90.00
_cell_angle_gamma 90.00
loop_
_atom_site_label
_atom_site_type_symbol
_atom_site_fract_x
_atom_site_fract_y
_atom_site_fract_z
Al1 Al 0.500 0.999 0.240
Al2 Al 0.500 0.761 0.761
Al3 Al 0.500 0.240 0.999
Cu1 Cu 0.500 0.663 0.334
Cu2 Cu 0.500 0.334 0.663
Fe1 Fe 0.000 0.006 0.006
Hf1 Hf 0.000 0.404 0.404
Zr1 Zr 0.000 0.999 0.593
Zr2 Zr 0.000 0.593 0.999
# calculated total energy	-6.414	eV/atom
# crystal system	orthorhombic
# space group	No. 38
# calculated density	7.04	Mg/m³
# M_tot	0.0	μB per cell

***

No. 5
# AgIrSeO (PBE, optimized geometry)
data_AgIrSeO
_space_group_name_H-M_alt 'P 1'
_space_group_IT_number 1
_space_group_name_Hall 'P 1'
_cell_length_a 3.319
_cell_length_b 7.327
_cell_length_c 5.929
_cell_angle_alpha 90.00
_cell_angle_beta 90.00
_cell_angle_gamma 90.00
loop_
_atom_site_label
_atom_site_type_symbol
_atom_site_fract_x
_atom_site_fract_y
_atom_site_fract_z
Ag1 Ag 0.000 0.310 0.131
Ag2 Ag 0.000 0.690 0.631
Ir1 Ir 0.500 0.165 0.487
Ir2 Ir 0.500 0.835 0.987
O1 O 0.500 0.059 0.182
O2 O 0.500 0.941 0.682
Se1 Se 0.000 0.665 0.190
Se2 Se 0.000 0.335 0.690
# crystal system	orthorhombic
# space group	No. 26
# energy above the most stable polymorph in this dataset	0.164	eV/atom
# calculated density	9.10	Mg/m³
# M_tot	0.0	μB per cell

***

No. 6
# GdSbAsO (PBE, optimized geometry)
data_GdSbAsO
_space_group_name_H-M_alt 'P 1'
_space_group_IT_number 1
_space_group_name_Hall 'P 1'
_cell_length_a 4.793
_cell_length_b 6.245
_cell_length_c 6.469
_cell_angle_alpha 90.00
_cell_angle_beta 90.00
_cell_angle_gamma 90.00
loop_
_atom_site_label
_atom_site_type_symbol
_atom_site_fract_x
_atom_site_fract_y
_atom_site_fract_z
As1 As 0.000 0.314 0.363
As2 As 0.000 0.686 0.863
Gd1 Gd 0.500 0.841 0.063
Gd2 Gd 0.500 0.159 0.563
O1 O 0.500 0.850 0.404
O2 O 0.500 0.150 0.904
Sb1 Sb 0.000 0.754 0.425
Sb2 Sb 0.000 0.246 0.925
# crystal system	orthorhombic
# space group	No. 26
# energy above the most stable polymorph in this dataset	0.243	eV/atom
# calculated density	6.34	Mg/m³
# M_tot	0.0	μB per cell

***

No. 7
# Li3US4 (PBE, optimized geometry)
data_Li3US4
_space_group_name_H-M_alt 'P 1'
_space_group_IT_number 1
_space_group_name_Hall 'P 1'
_cell_length_a 10.356
_cell_length_b 5.330
_cell_length_c 5.329
_cell_angle_alpha 90.00
_cell_angle_beta 90.00
_cell_angle_gamma 90.00
loop_
_atom_site_label
_atom_site_type_symbol
_atom_site_fract_x
_atom_site_fract_y
_atom_site_fract_z
Li1 Li 0.250 0.250 0.436
Li2 Li 0.750 0.250 0.436
Li3 Li 0.500 0.750 0.436
Li4 Li 0.250 0.750 0.936
Li5 Li 0.750 0.750 0.936
Li6 Li 0.000 0.250 0.936
S1 S 0.500 0.250 0.435
S2 S 0.242 0.750 0.435
S3 S 0.758 0.750 0.435
S4 S 0.000 0.250 0.435
S5 S 0.000 0.750 0.935
S6 S 0.258 0.250 0.935
S7 S 0.742 0.250 0.935
S8 S 0.500 0.750 0.935
U1 U 0.000 0.750 0.435
U2 U 0.500 0.250 0.935
# calculated total energy	-5.521	eV/atom
# crystal system	tetragonal
# space group	No. 139
# calculated density	4.37	Mg/m³
# M_tot	2.0	μB per cell

***

No. 8
# PmCu2 (PBE, optimized geometry)
data_PmCu2
_space_group_name_H-M_alt 'P 1'
_space_group_IT_number 1
_space_group_name_Hall 'P 1'
_cell_length_a 4.633
_cell_length_b 4.633
_cell_length_c 4.633
_cell_angle_alpha 60.00
_cell_angle_beta 60.00
_cell_angle_gamma 60.00
loop_
_atom_site_label
_atom_site_type_symbol
_atom_site_fract_x
_atom_site_fract_y
_atom_site_fract_z
Cu1 Cu 0.250 0.250 0.250
Cu2 Cu 0.750 0.750 0.750
Pm1 Pm 0.000 0.000 0.000
# crystal system	cubic
# space group	No. 225
# energy above the most stable polymorph in this dataset	0.601	eV/atom
# calculated density	6.42	Mg/m³
# M_tot	0.0	μB per cell

***

Q: calculated density of number 1 (HfSb2As)?
A: 8.97 Mg/m³

***

What did the fifth record say?
# AgIrSeO (PBE, optimized geometry)
data_AgIrSeO
_space_group_name_H-M_alt 'P 1'
_space_group_IT_number 1
_space_group_name_Hall 'P 1'
_cell_length_a 3.319
_cell_length_b 7.327
_cell_length_c 5.929
_cell_angle_alpha 90.00
_cell_angle_beta 90.00
_cell_angle_gamma 90.00
loop_
_atom_site_label
_atom_site_type_symbol
_atom_site_fract_x
_atom_site_fract_y
_atom_site_fract_z
Ag1 Ag 0.000 0.310 0.131
Ag2 Ag 0.000 0.690 0.631
Ir1 Ir 0.500 0.165 0.487
Ir2 Ir 0.500 0.835 0.987
O1 O 0.500 0.059 0.182
O2 O 0.500 0.941 0.682
Se1 Se 0.000 0.665 0.190
Se2 Se 0.000 0.335 0.690
# crystal system	orthorhombic
# space group	No. 26
# energy above the most stable polymorph in this dataset	0.164	eV/atom
# calculated density	9.10	Mg/m³
# M_tot	0.0	μB per cell

***

Q: Which value of M_tot does entry 6 give?
A: 0.0 μB per cell